Entry 1:
The following is a PBE calculation of a relaxed SrCa2AlRu crystal, from Alexandria.

Structure (POSCAR):
```
SrCa2AlRu
1.0
5.5184 0.0000 0.0000
0.0000 5.5184 0.0000
0.0000 0.0000 4.9583
Sr Ca Al Ru
1 2 1 1
Direct
0.5000 0.5000 0.5000
0.0000 0.5000 0.0000
0.5000 0.0000 0.0000
0.0000 0.0000 0.5000
0.0000 0.0000 0.0000
```

Output
ρ	3.25	g/cm³


Entry 2:
The following is a PBE calculation of a relaxed Ca2TaAlRu crystal, from Alexandria.

Structure (POSCAR):
```
Ca2TaAlRu
1.0
-3.4678 3.3025 -1.9220
-2.4126 -3.6418 -1.9045
-2.7886 -0.4128 4.3220
Ca Al Ta Ru
2 1 1 1
Direct
0.0000 0.0000 0.5000
0.5000 0.0000 0.0000
0.0000 0.5000 0.0000
0.5000 0.5000 0.5000
0.0000 0.0000 0.0000
```

Output
ρ	5.09	g/cm³


Number 1: V 30.199 Å³/atom, energy of formation from the pure elements -0.03 eV/f.u.. Number 2: V 25.377 Å³/atom, energy of formation from the pure elements 4.94 eV/f.u..